[1]
The following is a DFT calculation (GGA-PBE) of LaHg3Sb after structural relaxation.

Unit cell a=5.9293 b=5.9293 c=5.9293 alpha=90.00 beta=90.00 gamma=90.00
With the nearest neighbours (Å) after each atom.
Space group Pm-3m (No. 221)
Asymmetric unit:
La  0.0000  0.0000  0.0000  6 Hg 2.96
Hg  0.0000  0.0000  0.5000  2 La 2.96
Sb  0.5000  0.5000  0.5000  12 Hg 4.19

Calculated values
Uncorrected formation energy (meV/atom): 565
Total DFT energy (no corrections) (eV/cell): -7.13
Energy above the most stable polymorph in this dataset (meV per atom): 356

[2]
The following is a DFT calculation (GGA-PBE) of LaHgSb2 after structural relaxation.

Unit cell a=3.4368 b=3.4368 c=9.8862 alpha=90.00 beta=90.00 gamma=90.00
With the nearest neighbours (Å) after each atom.
Space group P4mm (No. 99)
Asymmetric unit:
La  0.0000  0.0000  0.0000  4 Sb 3.35, 4 Hg 3.37, 4 La 3.44
Hg  0.5000  0.5000  0.7640  4 Sb 3.26, 4 La 3.37, 4 Hg 3.44
Sb  0.0000  0.0000  0.5435  4 Hg 3.26, 4 Sb 3.44
Sb  0.5000  0.5000  0.2327  4 La 3.35, 4 Sb 3.44

Calculated values
Uncorrected formation energy (meV/atom): -219
Total DFT energy (no corrections) (eV/cell): -14.35

[3]
The following is a DFT calculation (GGA-PBE) of La2HgSb2 after structural relaxation.

Unit cell a=8.7735 b=8.7735 c=4.1889 alpha=90.00 beta=90.00 gamma=90.00
With the nearest neighbours (Å) after each atom.
Space group P4/mbm (No. 127)
Asymmetric unit:
La  0.1460  0.3540  0.0000  6 Sb 3.22-3.39, 2 Hg 3.36
Hg  0.0000  0.0000  0.0000  4 La 3.36
Sb  0.1573  0.6573  0.5000  6 La 3.22-3.39

Calculated values
Uncorrected formation energy (meV/atom): -896
Total DFT energy (no corrections) (eV/cell): -45.76
Energy above the most stable polymorph in this dataset (meV per atom): 0

[4]
The following is a DFT calculation (GGA-PBE) of LaHgSb2 after structural relaxation.

Unit cell a=4.7969 b=4.7969 c=4.8253 alpha=90.00 beta=90.00 gamma=90.00
With the nearest neighbours (Å) after each atom.
Space group P4/mmm (No. 123)
Asymmetric unit:
La  0.0000  0.0000  0.0000  4 Hg 3.39, 8 Sb 3.40
Hg  0.5000  0.5000  0.0000  4 La 3.39, 8 Sb 3.40
Sb  0.0000  0.5000  0.5000  4 Sb 3.39, 4 Hg 3.40, 4 La 3.40

Calculated values
Uncorrected formation energy (meV/atom): -619
Total DFT energy (no corrections) (eV/cell): -15.95

[5]
The following is a DFT calculation (GGA-PBE) of LaHgSb2 after structural relaxation.

Unit cell a=3.6690 b=3.6690 c=30.0991 alpha=90.00 beta=90.00 gamma=120.00
With the nearest neighbours (Å) after each atom.
Space group R-3m (No. 166, hexagonal axes)
Asymmetric unit:
La  0.0000  0.0000  0.0000  6 Sb 3.38, 6 La 3.67
Hg  0.0000  0.0000  0.5000  6 Sb 3.18
Sb  0.0000  0.0000  0.2456  3 Hg 3.18, 3 La 3.38

Calculated values
Uncorrected formation energy (meV/atom): -157
Total DFT energy (no corrections) (eV/cell): -42.30

[6]
The following is a DFT calculation (GGA-PBE) of LaHgSb2 after structural relaxation.

Unit cell a=4.7088 b=4.7088 c=10.1066 alpha=90.00 beta=90.00 gamma=90.00
With the nearest neighbours (Å) after each atom.
Space group I4/mmm (No. 139)
Asymmetric unit:
La  0.0000  0.0000  0.0000  4 Hg 3.33, 8 Sb 3.45
Hg  0.0000  0.0000  0.5000  4 La 3.33, 8 Sb 3.45
Sb  0.0000  0.5000  0.2500  4 Sb 3.33, 4 Hg 3.45, 4 La 3.45

Calculated values
Uncorrected formation energy (meV/atom): -615
Total DFT energy (no corrections) (eV/cell): -31.87

[7]
The following is a DFT calculation (GGA-PBE) of La4HgSbSe2 after structural relaxation.

Unit cell a=7.6363 b=4.4133 c=7.8462 alpha=90.00 beta=108.84 gamma=90.00
With the nearest neighbours (Å) after each atom.
Space group P2/m (No. 10)
Asymmetric unit:
La  0.2420  0.0000  0.2319  3 Se 3.07-3.08, 1 Sb 3.22, 2 Hg 3.24
La  0.2521  0.5000  0.7649  3 Se 3.07-3.10, 2 Sb 3.21, 1 Hg 3.23
Hg  0.5000  0.5000  0.5000  6 La 3.23-3.24
Sb  0.0000  0.0000  0.5000  6 La 3.21-3.22
Se  0.0000  0.5000  0.0000  6 La 3.07
Se  0.5000  0.0000  0.0000  6 La 3.08-3.10

Calculated values
Uncorrected formation energy (meV/atom): -1392
Total DFT energy (no corrections) (eV/cell): -42.24

[8]
The following is a DFT calculation (GGA-PBE) of LaSmHgSb after structural relaxation.

Unit cell a=7.7288 b=7.7288 c=7.7288 alpha=90.00 beta=90.00 gamma=90.00
With the nearest neighbours (Å) after each atom.
Space group F-43m (No. 216)
Asymmetric unit:
La  0.0000  0.0000  0.0000  4 Sb 3.35, 4 Hg 3.35
Sm  0.0000  0.0000  0.5000  4 Hg 3.35, 4 Sb 3.35
Hg  0.2500  0.2500  0.2500  4 La 3.35, 4 Sm 3.35
Sb  0.2500  0.2500  0.7500  4 Sm 3.35, 4 La 3.35

Calculated values
Uncorrected formation energy (meV/atom): -699
Total DFT energy (no corrections) (eV/cell): -67.47

[9]
The following is a DFT calculation (GGA-PBE) of LaHgSb2Te after structural relaxation.

Unit cell a=5.5003 b=5.5003 c=5.6343 alpha=90.00 beta=90.00 gamma=90.00
With the nearest neighbours (Å) after each atom.
Space group P4/mmm (No. 123)
Asymmetric unit:
La  0.0000  0.0000  0.0000  4 Te 3.89, 8 Sb 3.94
Hg  0.5000  0.5000  0.5000  4 Sb 2.75, 2 Te 2.82
Sb  0.0000  0.5000  0.5000  2 Hg 2.75
Te  0.5000  0.5000  0.0000  2 Hg 2.82

Calculated values
Uncorrected formation energy (meV/atom): 46
Total DFT energy (no corrections) (eV/cell): -16.39
Energy above the most stable polymorph in this dataset (meV per atom): 0

[10]
The following is a DFT calculation (GGA-PBE) of La8HgSb3Te4 after structural relaxation.

Unit cell a=9.1952 b=9.1952 c=22.5332 alpha=90.00 beta=90.00 gamma=120.00
With the nearest neighbours (Å) after each atom.
Space group R-3m (No. 166, hexagonal axes)
Asymmetric unit:
La  0.0000  0.0000  0.2472  3 Sb 3.22, 3 Te 3.29
La  0.9996  0.4998  0.2481  2 Sb 3.23, 1 Hg 3.23, 3 Te 3.27-3.28
Hg  0.0000  0.0000  0.5000  6 La 3.23
Sb  0.0000  0.5000  0.5000  6 La 3.22-3.23
Te  0.0000  0.0000  0.0000  6 La 3.27
Te  0.0000  0.5000  0.0000  6 La 3.28-3.29

Calculated values
Uncorrected formation energy (meV/atom): -1349
Total DFT energy (no corrections) (eV/cell): -258.72

The records above give, respectively, magnetic moment values of 0.00, 0.00, 0.00, 0.00, 0.00, 0.00, 0.00, 0.01, 0.00, 0.00 μB/cell.
The records above give, respectively, D(E_F) values of 6.93, 2.15, 0.13, 1.90, 3.15, 1.74, 6.63, 4.13, 4.25, 9.47 states/eV/f.u..